[1]
The following is a PBE-GGA calculation of a relaxed RbCrGe2 crystal, from Alexandria.

Summary:
* crystal system: tetragonal
* energy relative to the lowest polymorph listed for this composition: 0 meV/atom

abc: 5.885 5.885 8.477
angles: 69.69 69.69 90.00
Site moments in Bohr magnetons follow the coordinates.
Element x y z (fractional)
Ge  0.875  0.625  0.750  -0.18
Ge  0.375  0.625  0.750  -0.14
Ge  0.375  0.625  0.250  -0.12
Ge  0.375  0.125  0.250  -0.12
Rb  0.000  0.000  0.000  -0.01
Rb  0.750  0.250  0.500  -0.01
Cr  0.500  0.500  0.000  2.05
Cr  0.250  0.750  0.500  2.05

[2]
The following is a PBE-GGA calculation of a relaxed LaNd2HoEr5 crystal, from Alexandria.

Summary:
* crystal system: tetragonal

abc: 8.733 8.733 9.898
angles: 116.18 116.18 90.00
Element x y z (fractional)
Er  0.573  0.653  0.726
Er  0.427  0.347  0.274
Er  0.000  0.000  0.000
Er  0.153  0.073  0.726
Er  0.073  0.573  0.726
Er  0.927  0.427  0.274
Er  0.347  0.847  0.274
Er  0.500  0.500  0.000
Er  0.847  0.927  0.274
Er  0.653  0.153  0.726
Nd  0.117  0.383  0.000
Nd  0.617  0.117  0.000
Nd  0.883  0.617  0.000
Nd  0.383  0.883  0.000
Ho  0.250  0.750  0.500
Ho  0.750  0.250  0.500
La  0.750  0.750  0.500
La  0.250  0.250  0.500

| no. | calculated formation energy (meV per atom) |
| --- | --- |
| 1 | 274 |
| 2 | 260 |